(1)
DFT (PBE) results for a geometry-optimized AcPrYSe3 structure.

Cell: 7.402 4.203 11.055 Å, 90.00 102.94 90.00°
Element x y z (fractional)
Ac: 0.159 0.250 0.194
Ac: 0.841 0.750 0.806
Pr: 0.263 0.750 0.557
Pr: 0.737 0.250 0.443
Y: 0.379 0.250 0.870
Y: 0.621 0.750 0.130
Se: 0.053 0.250 0.670
Se: 0.232 0.750 0.996
Se: 0.449 0.750 0.340
Se: 0.551 0.250 0.660
Se: 0.768 0.250 0.004
Se: 0.947 0.750 0.330

- raw formation energy (eV per atom) = -1.803


(2)
DFT (PBE) results for a geometry-optimized In2PO6 structure.

Cell: 4.692 4.692 9.253 Å, 90.00 90.00 90.00°
Element x y z (fractional)
In: 0.000 0.000 0.167
In: 0.000 0.000 0.833
In: 0.500 0.500 0.333
In: 0.500 0.500 0.667
P: 0.000 0.000 0.500
P: 0.500 0.500 0.000
O: 0.177 0.177 0.364
O: 0.177 0.177 0.636
O: 0.239 0.239 0.000
O: 0.261 0.739 0.500
O: 0.323 0.677 0.136
O: 0.323 0.677 0.864
O: 0.677 0.323 0.136
O: 0.677 0.323 0.864
O: 0.739 0.261 0.500
O: 0.761 0.761 0.000
O: 0.823 0.823 0.364
O: 0.823 0.823 0.636

- raw formation energy (eV per atom) = -1.449


(3)
DFT (PBE) results for a geometry-optimized PuPO4 structure.

Cell: 4.861 4.861 7.931 Å, 90.00 90.00 112.69°
Element x y z (fractional)
Pu: 0.000 0.000 0.000
Pu: 0.000 0.000 0.500
P: 0.377 0.623 0.750
P: 0.623 0.377 0.250
O: 0.248 0.273 0.750
O: 0.273 0.248 0.250
O: 0.278 0.722 0.584
O: 0.278 0.722 0.916
O: 0.722 0.278 0.084
O: 0.722 0.278 0.416
O: 0.727 0.752 0.750
O: 0.752 0.727 0.250

- raw formation energy (eV per atom) = -2.656


(4)
DFT (PBE) results for a geometry-optimized K2SrAs2Pt structure.

Cell: 8.603 8.603 8.603 Å, 128.83 79.65 123.55°
Element x y z (fractional)
K: 0.209 0.119 0.329
K: 0.291 0.619 0.910
K: 0.709 0.381 0.090
K: 0.791 0.881 0.671
Sr: 0.250 0.750 0.500
Sr: 0.750 0.250 0.500
As: 0.030 0.802 0.833
As: 0.470 0.302 0.772
As: 0.530 0.698 0.228
As: 0.970 0.198 0.167
Pt: 0.250 0.250 0.000
Pt: 0.750 0.750 0.000

- ΔH_f (0 K) (eV per formula unit) = -3.27


(5)
DFT (PBE) results for a geometry-optimized PmMg3Tl3 structure.

Cell: 9.098 9.098 5.076 Å, 90.00 90.00 120.00°
Element x y z (fractional)
Pm: 0.333 0.667 0.250
Pm: 0.667 0.333 0.750
Mg: 0.032 0.803 0.250
Mg: 0.197 0.229 0.250
Mg: 0.229 0.032 0.750
Mg: 0.771 0.968 0.250
Mg: 0.803 0.771 0.750
Mg: 0.968 0.197 0.750
Tl: 0.083 0.642 0.750
Tl: 0.358 0.441 0.750
Tl: 0.441 0.083 0.250
Tl: 0.559 0.917 0.750
Tl: 0.642 0.559 0.250
Tl: 0.917 0.358 0.250

- ΔH_f (0 K) (eV per formula unit) = -0.74


(6)
DFT (PBE) results for a geometry-optimized SmDyAu structure.

Cell: 7.106 7.106 7.106 Å, 90.00 90.00 90.00°
Element x y z (fractional)
Sm: 0.000 0.000 0.000
Sm: 0.000 0.500 0.500
Sm: 0.500 0.000 0.500
Sm: 0.500 0.500 0.000
Dy: 0.000 0.000 0.500
Dy: 0.000 0.500 0.000
Dy: 0.500 0.000 0.000
Dy: 0.500 0.500 0.500
Au: 0.250 0.250 0.250
Au: 0.250 0.750 0.750
Au: 0.750 0.250 0.750
Au: 0.750 0.750 0.250

- ΔH_f (0 K) (eV per formula unit) = -1.24


Total magnetization (computed, Bohr magnetons per cell): 0.000; 2.058; 10.000; 0.000; 0.000; 0.001